[1]
The following is a DFT calculation (PBE) of a relaxed structure of Sm4Te5.

abc: 8.712 8.712 8.712
angles: 93.01 93.01 153.53
Sites, in units of the cell vectors:
Sm1 0.156 0.156 0.312
Sm2 0.156 0.844 0.000
Sm3 0.844 0.156 0.000
Sm4 0.844 0.844 0.688
Te1 0.197 0.500 0.697
Te2 0.500 0.197 0.697
Te3 0.500 0.500 0.000
Te4 0.500 0.803 0.303
Te5 0.803 0.500 0.303

Computed properties:
total magnetic moment = 0.00 μB per formula unit
E = -4.80 eV/atom
energy relative to the elements, uncorrected = -0.955 eV/atom

***

[2]
The following is a DFT calculation (PBE) of a relaxed structure of Sm4Te3.

abc: 8.070 8.070 8.070
angles: 109.47 109.47 109.47
Sites, in units of the cell vectors:
Sm1 0.000 0.356 0.500
Sm2 0.000 0.856 0.500
Sm3 0.144 0.144 0.144
Sm4 0.356 0.500 0.000
Sm5 0.500 0.000 0.356
Sm6 0.500 0.000 0.856
Sm7 0.644 0.644 0.644
Sm8 0.856 0.500 0.000
Te1 0.125 0.750 0.875
Te2 0.250 0.625 0.375
Te3 0.375 0.250 0.625
Te4 0.625 0.375 0.250
Te5 0.750 0.875 0.125
Te6 0.875 0.125 0.750

Computed properties:
total magnetic moment = 0.00 μB per formula unit
E = -5.23 eV/atom
energy relative to the elements, uncorrected = -1.183 eV/atom
energy above the lowest structure with this stoichiometry = 0.0000 eV per atom

***

[3]
The following is a DFT calculation (PBE) of a relaxed structure of SmTe2.

abc: 4.480 4.480 9.083
angles: 90.00 90.00 90.00
Sites, in units of the cell vectors:
Sm1 0.250 0.250 0.229
Sm2 0.750 0.750 0.771
Te1 0.250 0.250 0.871
Te2 0.250 0.750 0.500
Te3 0.750 0.250 0.500
Te4 0.750 0.750 0.129

Computed properties:
total magnetic moment = 0.00 μB per formula unit
E = -4.90 eV/atom
energy relative to the elements, uncorrected = -1.228 eV/atom

***

[4]
The following is a DFT calculation (PBE) of a relaxed structure of Sm5Te4.

abc: 7.555 7.555 7.555
angles: 99.78 99.78 131.31
Sites, in units of the cell vectors:
Sm1 0.000 0.000 0.000
Sm2 0.212 0.603 0.814
Sm3 0.397 0.212 0.609
Sm4 0.603 0.788 0.391
Sm5 0.788 0.397 0.186
Te1 0.092 0.304 0.397
Te2 0.304 0.908 0.212
Te3 0.696 0.092 0.788
Te4 0.908 0.696 0.603

Computed properties:
total magnetic moment = 0.00 μB per formula unit
E = -5.17 eV/atom
energy relative to the elements, uncorrected = -1.150 eV/atom

***

[5]
The following is a DFT calculation (PBE) of a relaxed structure of SmTe4.

abc: 5.946 5.946 5.946
angles: 90.00 90.00 90.00
Sites, in units of the cell vectors:
Sm1 0.000 0.000 0.000
Te1 0.000 0.000 0.500
Te2 0.000 0.500 0.000
Te3 0.500 0.000 0.000
Te4 0.500 0.500 0.500

Computed properties:
total magnetic moment = 0.96 μB per formula unit
E = -3.38 eV/atom
energy relative to the elements, uncorrected = 0.074 eV/atom

***

[6]
The following is a DFT calculation (PBE) of a relaxed structure of Sm3Te2.

abc: 8.345 8.345 8.345
angles: 53.49 53.49 53.49
Sites, in units of the cell vectors:
Sm1 0.081 0.750 0.419
Sm2 0.250 0.581 0.919
Sm3 0.419 0.081 0.750
Sm4 0.581 0.919 0.250
Sm5 0.750 0.419 0.081
Sm6 0.919 0.250 0.581
Te1 0.163 0.163 0.163
Te2 0.337 0.337 0.337
Te3 0.663 0.663 0.663
Te4 0.837 0.837 0.837

Computed properties:
total magnetic moment = 0.00 μB per formula unit
E = -5.00 eV/atom
energy relative to the elements, uncorrected = -0.914 eV/atom
energy above the lowest structure with this stoichiometry = 0.2121 eV per atom

***

[7]
The following is a DFT calculation (PBE) of a relaxed structure of Sm3Te4.

abc: 8.188 8.188 8.188
angles: 109.47 109.47 109.47
Sites, in units of the cell vectors:
Sm1 0.125 0.750 0.875
Sm2 0.250 0.625 0.375
Sm3 0.375 0.250 0.625
Sm4 0.625 0.375 0.250
Sm5 0.750 0.875 0.125
Sm6 0.875 0.125 0.750
Te1 0.000 0.352 0.500
Te2 0.000 0.852 0.500
Te3 0.148 0.148 0.148
Te4 0.352 0.500 0.000
Te5 0.500 0.000 0.352
Te6 0.500 0.000 0.852
Te7 0.648 0.648 0.648
Te8 0.852 0.500 0.000

Computed properties:
total magnetic moment = 0.00 μB per formula unit
E = -5.20 eV/atom
energy relative to the elements, uncorrected = -1.387 eV/atom
energy above the lowest structure with this stoichiometry = 0.0000 eV per atom

***

[8]
The following is a DFT calculation (PBE) of a relaxed structure of SmTe3.

abc: 4.372 4.373 13.783
angles: 90.00 99.14 90.00
Sites, in units of the cell vectors:
Sm1 0.172 0.250 0.345
Sm2 0.828 0.750 0.655
Te1 0.078 0.750 0.157
Te2 0.293 0.250 0.585
Te3 0.422 0.750 0.843
Te4 0.578 0.250 0.157
Te5 0.707 0.750 0.415
Te6 0.922 0.250 0.843

Computed properties:
total magnetic moment = 0.00 μB per formula unit
E = -4.50 eV/atom
energy relative to the elements, uncorrected = -0.968 eV/atom

***

[9]
The following is a DFT calculation (PBE) of a relaxed structure of Sm3Te4.

abc: 15.029 15.029 15.029
angles: 17.02 17.02 17.02
Sites, in units of the cell vectors:
Sm1 0.000 0.000 0.000
Sm2 0.246 0.246 0.246
Sm3 0.754 0.754 0.754
Te1 0.124 0.124 0.124
Te2 0.375 0.375 0.375
Te3 0.625 0.625 0.625
Te4 0.876 0.876 0.876

Computed properties:
total magnetic moment = 0.00 μB per formula unit
E = -5.18 eV/atom
energy relative to the elements, uncorrected = -1.367 eV/atom
energy above the lowest structure with this stoichiometry = 0.0196 eV per atom

***

[10]
The following is a DFT calculation (PBE) of a relaxed structure of Sm4Te3.

abc: 14.520 14.520 14.520
angles: 16.96 16.96 16.96
Sites, in units of the cell vectors:
Sm1 0.120 0.120 0.120
Sm2 0.367 0.367 0.367
Sm3 0.633 0.633 0.633
Sm4 0.880 0.880 0.880
Te1 0.256 0.256 0.256
Te2 0.500 0.500 0.500
Te3 0.744 0.744 0.744

Computed properties:
total magnetic moment = 0.00 μB per formula unit
E = -5.17 eV/atom
energy relative to the elements, uncorrected = -1.123 eV/atom
energy above the lowest structure with this stoichiometry = 0.0600 eV per atom

***

[11]
The following is a DFT calculation (PBE) of a relaxed structure of Sm2Te.

abc: 6.518 6.518 10.871
angles: 93.95 93.95 37.91
Sites, in units of the cell vectors:
Sm1 0.045 0.045 0.287
Sm2 0.346 0.346 0.084
Sm3 0.360 0.360 0.459
Sm4 0.640 0.640 0.541
Sm5 0.654 0.654 0.916
Sm6 0.955 0.955 0.713
Te1 0.000 0.000 0.000
Te2 0.252 0.252 0.734
Te3 0.748 0.748 0.266

Computed properties:
total magnetic moment = 0.00 μB per formula unit
E = -5.05 eV/atom
energy relative to the elements, uncorrected = -0.856 eV/atom

***

[12]
The following is a DFT calculation (PBE) of a relaxed structure of Sm2Te.

abc: 7.178 4.147 7.261
angles: 90.00 109.18 90.00
Sites, in units of the cell vectors:
Sm1 0.238 0.000 0.212
Sm2 0.262 0.500 0.788
Sm3 0.738 0.500 0.212
Sm4 0.762 0.000 0.788
Te1 0.000 0.000 0.500
Te2 0.500 0.500 0.500

Computed properties:
total magnetic moment = 0.00 μB per formula unit
E = -4.97 eV/atom
energy relative to the elements, uncorrected = -0.773 eV/atom

***

[13]
The following is a DFT calculation (PBE) of a relaxed structure of SmThTe.

abc: 5.321 5.321 3.830
angles: 90.00 90.00 120.00
Sites, in units of the cell vectors:
Sm1 0.000 0.000 0.000
Th1 0.667 0.333 0.500
Te1 0.333 0.667 0.000

Computed properties:
total magnetic moment = 0.00 μB per formula unit
E = -5.43 eV/atom
energy relative to the elements, uncorrected = -0.333 eV/atom
energy above the lowest structure with this stoichiometry = 0.4239 eV per atom

***

[14]
The following is a DFT calculation (PBE) of a relaxed structure of SmTh3Te4.

abc: 8.771 12.609 4.538
angles: 90.00 90.00 90.00
Sites, in units of the cell vectors:
Sm1 0.000 0.000 0.000
Sm2 0.500 0.500 0.000
Th1 0.000 0.500 0.000
Th2 0.250 0.250 0.500
Th3 0.250 0.750 0.500
Th4 0.500 0.000 0.000
Th5 0.750 0.250 0.500
Th6 0.750 0.750 0.500
Te1 0.000 0.248 0.000
Te2 0.000 0.752 0.000
Te3 0.246 0.000 0.500
Te4 0.254 0.500 0.500
Te5 0.500 0.252 0.000
Te6 0.500 0.748 0.000
Te7 0.746 0.500 0.500
Te8 0.754 0.000 0.500

Computed properties:
total magnetic moment = 0.00 μB per formula unit
E = -6.04 eV/atom
energy relative to the elements, uncorrected = -1.099 eV/atom
energy above the lowest structure with this stoichiometry = 0.0085 eV per atom

***

[15]
The following is a DFT calculation (PBE) of a relaxed structure of SmThTe2.

abc: 3.849 3.849 7.652
angles: 90.00 90.00 90.00
Sites, in units of the cell vectors:
Sm1 0.000 0.000 0.000
Th1 0.000 0.000 0.500
Te1 0.500 0.500 0.252
Te2 0.500 0.500 0.748

Computed properties:
total magnetic moment = 0.00 μB per formula unit
E = -5.80 eV/atom
energy relative to the elements, uncorrected = -1.196 eV/atom
energy above the lowest structure with this stoichiometry = 0.0033 eV per atom

***

[16]
The following is a DFT calculation (PBE) of a relaxed structure of SmTh2Te4.

abc: 7.387 7.387 15.930
angles: 90.00 90.00 146.83
Sites, in units of the cell vectors:
Sm1 0.105 0.895 0.750
Sm2 0.895 0.105 0.250
Th1 0.351 0.649 0.562
Th2 0.351 0.649 0.938
Th3 0.649 0.351 0.062
Th4 0.649 0.351 0.438
Te1 0.000 0.000 0.000
Te2 0.000 0.000 0.500
Te3 0.296 0.704 0.132
Te4 0.296 0.704 0.368
Te5 0.439 0.561 0.750
Te6 0.561 0.439 0.250
Te7 0.704 0.296 0.632
Te8 0.704 0.296 0.868

Computed properties:
total magnetic moment = 0.00 μB per formula unit
E = -5.75 eV/atom
energy relative to the elements, uncorrected = -1.156 eV/atom
energy above the lowest structure with this stoichiometry = 0.0000 eV per atom

***

[17]
The following is a DFT calculation (PBE) of a relaxed structure of SmTh3Te4.

abc: 4.464 4.464 12.596
angles: 90.00 90.00 90.00
Sites, in units of the cell vectors:
Sm1 0.000 0.000 0.000
Th1 0.000 0.000 0.500
Th2 0.500 0.500 0.252
Th3 0.500 0.500 0.748
Te1 0.000 0.000 0.248
Te2 0.000 0.000 0.752
Te3 0.500 0.500 0.000
Te4 0.500 0.500 0.500

Computed properties:
total magnetic moment = 0.00 μB per formula unit
E = -6.05 eV/atom
energy relative to the elements, uncorrected = -1.107 eV/atom
energy above the lowest structure with this stoichiometry = 0.0000 eV per atom

***

[18]
The following is a DFT calculation (PBE) of a relaxed structure of SmTh3Te6.

abc: 11.633 4.225 13.838
angles: 90.00 105.07 90.00
Sites, in units of the cell vectors:
Sm1 0.040 0.250 0.195
Sm2 0.960 0.750 0.805
Th1 0.127 0.250 0.573
Th2 0.319 0.750 0.978
Th3 0.370 0.250 0.362
Th4 0.630 0.750 0.638
Th5 0.681 0.250 0.022
Th6 0.873 0.750 0.427
Te1 0.111 0.250 0.961
Te2 0.147 0.750 0.401
Te3 0.199 0.750 0.745
Te4 0.245 0.750 0.188
Te5 0.418 0.250 0.599
Te6 0.473 0.250 0.128
Te7 0.527 0.750 0.872
Te8 0.582 0.750 0.401
Te9 0.755 0.250 0.812
Te10 0.801 0.250 0.255
Te11 0.853 0.250 0.599
Te12 0.889 0.750 0.039

Computed properties:
total magnetic moment = 0.00 μB per formula unit
E = -5.78 eV/atom
energy relative to the elements, uncorrected = -1.195 eV/atom

***

[19]
The following is a DFT calculation (PBE) of a relaxed structure of Sm4Th3Te8.

abc: 8.868 8.868 8.848
angles: 119.88 119.88 90.03
Sites, in units of the cell vectors:
Sm1 0.000 0.000 0.000
Sm2 0.000 0.500 0.000
Sm3 0.500 0.000 0.000
Sm4 0.500 0.500 0.500
Th1 0.000 0.500 0.500
Th2 0.500 0.000 0.500
Th3 0.500 0.500 0.000
Te1 0.240 0.240 0.497
Te2 0.243 0.243 0.988
Te3 0.243 0.757 0.500
Te4 0.248 0.752 0.000
Te5 0.752 0.248 0.000
Te6 0.757 0.243 0.500
Te7 0.757 0.757 0.012
Te8 0.760 0.760 0.503

Computed properties:
total magnetic moment = 0.00 μB per formula unit
E = -5.70 eV/atom
energy relative to the elements, uncorrected = -1.277 eV/atom

***

[20]
The following is a DFT calculation (PBE) of a relaxed structure of SmTh2Te3.

abc: 3.850 3.850 11.523
angles: 90.00 90.00 90.00
Sites, in units of the cell vectors:
Sm1 0.000 0.000 0.000
Th1 0.000 0.000 0.332
Th2 0.000 0.000 0.668
Te1 0.500 0.500 0.168
Te2 0.500 0.500 0.500
Te3 0.500 0.500 0.832

Computed properties:
total magnetic moment = 0.00 μB per formula unit
E = -5.99 eV/atom
energy relative to the elements, uncorrected = -1.157 eV/atom